Na2MgSiMo | the Alexandria database | PBE | optimized geometry; total magnetization = 5.630 μB/f.u.; SG = P4/mmm (123); raw formation energy = 1.13 eV per atom
1.0
5.5230 0.0000 0.0000
0.0000 5.5230 0.0000
0.0000 0.0000 5.0012
Na Mg Si Mo
2 1 1 1
direct
0.0000 0.5000 0.0000
0.5000 0.0000 0.0000
0.0000 0.0000 0.5000
0.0000 0.0000 0.0000
0.5000 0.5000 0.5000

Cd8InHg3 | the Alexandria database | PBE | optimized geometry; total magnetization = 0.000 μB/f.u.; SG = R3m (160); energy of formation from the pure elements = 0.07 eV per atom
1.0
3.0086 1.7370 9.5199
-3.0086 1.7370 9.5199
0.0000 -3.4740 9.5199
Cd In Hg
8 1 3
direct
0.0000 0.0000 0.0000
0.2501 0.2501 0.7490
0.2501 0.7490 0.2501
0.2510 0.7502 0.7502
0.5003 0.5003 0.5003
0.7490 0.2501 0.2501
0.7502 0.2510 0.7502
0.7502 0.7502 0.2510
0.8120 0.8120 0.8120
0.1862 0.1862 0.1862
0.3118 0.3118 0.3118
0.6881 0.6881 0.6881

LuZnInRh | the Alexandria database | PBE | optimized geometry; total magnetization = 0.000 μB/f.u.; SG = F-43m (216); energy of formation from the pure elements = -0.48 eV per atom
1.0
0.0000 3.3388 3.3388
3.3388 0.0000 3.3388
3.3388 3.3388 0.0000
Lu Zn In Rh
1 1 1 1
direct
0.0000 0.0000 0.0000
0.7500 0.7500 0.7500
0.5000 0.5000 0.5000
0.2500 0.2500 0.2500

K2Ac2ReO6 | the Alexandria database | PBE | optimized geometry; total magnetization = 3.000 μB/f.u.; SG = C2/m (12); raw formation energy = -2.15 eV per atom
1.0
3.1579 -5.3672 0.0000
3.1579 5.3672 0.0000
-1.5146 0.0000 6.4575
K Ac Re O
2 2 1 6
direct
0.1464 0.8536 0.0000
0.8536 0.1464 0.0000
0.3375 0.6626 0.5000
0.6626 0.3375 0.5000
0.0000 0.0000 0.5000
0.0356 0.3298 0.6685
0.2287 0.2287 0.3165
0.3298 0.0356 0.6685
0.6702 0.9644 0.3315
0.7713 0.7713 0.6835
0.9644 0.6702 0.3315

TlIr2I | the Alexandria database | PBE | optimized geometry; total magnetization = 0.000 μB/f.u.; SG = Fm-3m (225); raw formation energy = 1.06 eV per atom
1.0
0.0000 3.3824 3.3824
3.3824 0.0000 3.3824
3.3824 3.3824 0.0000
Tl Ir I
1 2 1
direct
0.0000 0.0000 0.0000
0.2500 0.2500 0.2500
0.7500 0.7500 0.7500
0.5000 0.5000 0.5000

Sc3TeSe3 | the Alexandria database | PBE | optimized geometry; total magnetization = 0.000 μB/f.u.; SG = R-3 (148); raw formation energy = -1.41 eV per atom
1.0
3.9194 2.2628 6.7000
-3.9194 2.2628 6.7000
0.0000 -4.5257 6.7000
Sc Te Se
6 2 6
direct
0.1064 0.4840 0.7018
0.2982 0.8936 0.5160
0.4840 0.7018 0.1064
0.5160 0.2982 0.8936
0.7018 0.1064 0.4840
0.8936 0.5160 0.2982
0.3282 0.3282 0.3282
0.6718 0.6718 0.6718
0.1115 0.8380 0.3670
0.1620 0.6330 0.8885
0.3670 0.1115 0.8380
0.6330 0.8885 0.1620
0.8380 0.3670 0.1115
0.8885 0.1620 0.6330

Pm8Er3Sc2 | the Alexandria database | PBE | optimized geometry; total magnetization = 0.000 μB/f.u.; SG = C2/m (12); energy of formation from the pure elements = 0.21 eV per atom
1.0
9.8314 -3.8748 0.0000
9.8314 3.8748 0.0000
-0.0022 0.0000 5.6579
Pm Er Sc
8 3 2
direct
0.0947 0.6852 0.9999
0.1782 0.1782 0.5007
0.3148 0.9053 0.0001
0.3678 0.3678 0.5003
0.6322 0.6322 0.4997
0.6852 0.0947 0.9999
0.8218 0.8218 0.4993
0.9053 0.3148 0.0001
0.2123 0.7877 0.5000
0.5000 0.5000 0.0000
0.7877 0.2123 0.5000
0.2606 0.2606 0.0009
0.7394 0.7394 0.9991

AgBiAs2 | the Alexandria database | PBE | optimized geometry; total magnetization = 0.000 μB/f.u.; SG = I-42d (122); energy of formation from the pure elements = 0.21 eV per atom
1.0
-3.0987 3.0987 6.2335
3.0987 -3.0987 6.2335
3.0987 3.0987 -6.2335
Ag Bi As
2 2 4
direct
0.0000 0.0000 0.0000
0.7500 0.2500 0.5000
0.2500 0.7500 0.5000
0.5000 0.5000 0.0000
0.0961 0.6250 0.9711
0.3750 0.3461 0.4711
0.6539 0.1250 0.0289
0.8750 0.9039 0.5289

U5Se5N | the Alexandria database | PBE | optimized geometry; total magnetization = 7.750 μB/f.u.; SG = C2/m (12); raw formation energy = -0.99 eV per atom
1.0
6.2213 -2.7952 0.0000
6.2213 2.7952 0.0000
-2.6181 0.0000 7.3997
U Se N
5 5 1
direct
0.0000 0.0000 0.0000
0.3474 0.3474 0.1426
0.3553 0.3553 0.7139
0.6447 0.6447 0.2861
0.6526 0.6526 0.8574
0.1534 0.1534 0.8058
0.1803 0.1803 0.3403
0.5000 0.5000 0.5000
0.8197 0.8197 0.6597
0.8466 0.8466 0.1942
0.5000 0.5000 0.0000

La2ZnBiO6 | the Alexandria database | PBE | optimized geometry; total magnetization = 0.000 μB/f.u.; SG = R-3 (148); raw formation energy = -2.23 eV per atom
1.0
2.9968 1.7302 4.7420
-2.9968 1.7302 4.7420
0.0000 -3.4604 4.7420
La Zn Bi O
2 1 1 6
direct
0.2322 0.2322 0.2322
0.7678 0.7678 0.7678
0.0000 0.0000 0.0000
0.5000 0.5000 0.5000
0.1360 0.3478 0.7785
0.2215 0.8640 0.6522
0.3478 0.7785 0.1360
0.6522 0.2215 0.8640
0.7785 0.1360 0.3478
0.8640 0.6522 0.2215

Hf2TiPb | the Alexandria database | PBE | optimized geometry; total magnetization = 0.000 μB/f.u.; SG = R3m (160); energy of formation from the pure elements = 0.08 eV per atom
1.0
1.6169 0.9335 9.8180
-1.6169 0.9335 9.8180
0.0000 -1.8670 9.8180
Hf Ti Pb
2 1 1
direct
0.0000 0.0000 0.0000
0.1553 0.1553 0.1553
0.4108 0.4108 0.4108
0.5776 0.5776 0.5776

CaScP | the Alexandria database | PBE | optimized geometry; total magnetization = 0.001 μB/f.u.; SG = P3m1 (156); energy of formation from the pure elements = -0.82 eV per atom
1.0
3.8678 0.0000 0.0000
-1.9339 3.3496 0.0000
0.0000 0.0000 6.3142
Ca Sc P
1 1 1
direct
0.0000 0.0000 0.0000
0.3333 0.6667 0.4894
0.6667 0.3333 0.2885

MnFeGe | the Alexandria database | PBE | optimized geometry; total magnetization = 1.000 μB/f.u.; SG = F-43m (216); energy of formation from the pure elements = 0.04 eV per atom
1.0
0.0000 2.7363 2.7363
2.7363 0.0000 2.7363
2.7363 2.7363 0.0000
Mn Fe Ge
1 1 1
direct
0.0000 0.0000 0.0000
0.2500 0.2500 0.2500
0.5000 0.5000 0.5000